Entry from Alexandria: a relaxed Pm3NdAu2 crystal (GGA-PBE).

Cell lengths 5.1034, 7.2909, 9.2497 Å; angles 90.00, 90.00, 90.00 degrees
Sites, in units of the cell vectors:
Au: 0.5000 0.2423 0.1530
Au: 0.5000 0.7423 0.8470
Au: 0.0000 0.7578 0.3450
Au: 0.0000 0.2578 0.6550
Nd: 0.5000 0.0080 0.4265
Nd: 0.5000 0.5080 0.5735
Pm: 0.5000 0.1518 0.8351
Pm: 0.0000 0.9920 0.0732
Pm: 0.5000 0.6518 0.1649
Pm: 0.0000 0.4920 0.9268
Pm: 0.0000 0.3481 0.3344
Pm: 0.0000 0.8481 0.6656

Calculated values
polymorph energy (0 for the lowest one)	0.000	eV/atom
E_tot	-4.83	eV/atom
total moment	0.00	Bohr magnetons per cell
DFT formation energy	-565	meV per atom

***

Entry from Alexandria: a relaxed Y2TaSi crystal (GGA-PBE).

Cell lengths 8.2521, 8.2521, 6.4593 Å; angles 50.30, 50.30, 90.00 degrees
Sites, in units of the cell vectors:
Y: 0.1672 0.6250 0.2500
Y: 0.8750 0.8328 0.7500
Y: 0.5828 0.1250 0.2500
Y: 0.3750 0.4172 0.7500
Si: 0.2500 0.7500 0.5000
Si: 0.5000 0.5000 0.0000
Ta: 0.7500 0.2500 0.5000
Ta: 0.0000 0.0000 0.0000

Calculated values
E_tot	-7.14	eV/atom
total moment	0.00	Bohr magnetons per cell

***

Entry from Alexandria: a relaxed BaBeAu crystal (GGA-PBE).

Cell lengths 4.9151, 4.9151, 4.9151 Å; angles 60.00, 60.00, 60.00 degrees
Sites, in units of the cell vectors:
Be: 0.7500 0.7500 0.7500
Au: 0.0000 0.0000 0.0000
Ba: 0.5000 0.5000 0.5000

Calculated values
polymorph energy (0 for the lowest one)	0.468	eV/atom
E_tot	-2.73	eV/atom
total moment	0.00	Bohr magnetons per cell
DFT formation energy	245	meV per atom

***

Entry from Alexandria: a relaxed Ag2HgSe crystal (GGA-PBE).

Cell lengths 5.4871, 5.4871, 5.4871 Å; angles 134.95, 134.95, 65.60 degrees
Sites, in units of the cell vectors:
Se: 0.7500 0.2500 0.5000
Hg: 0.5000 0.5000 0.0000
Ag: 0.2500 0.7500 0.5000
Ag: 0.0000 0.0000 0.0000

Calculated values
polymorph energy (0 for the lowest one)	0.089	eV/atom
E_tot	-2.29	eV/atom
total moment	0.00	Bohr magnetons per cell

***

Entry from Alexandria: a relaxed Eu6Tl crystal (GGA-PBE).

Cell lengths 8.1974, 8.1974, 8.1974 Å; angles 109.47, 109.47, 109.47 degrees
Last column: magnetic moment on the atom in μB.
Sites, in units of the cell vectors:
Eu: 0.7500 0.5000 0.2500  7.31
Eu: 0.5000 0.7500 0.2500  7.31
Eu: 0.7500 0.2500 0.5000  7.31
Eu: 0.2500 0.7500 0.5000  7.31
Eu: 0.2500 0.5000 0.7500  7.31
Eu: 0.5000 0.2500 0.7500  7.31
Tl: 0.0000 0.0000 0.0000  0.06

Calculated values
E_tot	-8.09	eV/atom
total moment	49.37	Bohr magnetons per cell
DFT formation energy	1056	meV per atom

***

Entry from Alexandria: a relaxed La3Mo crystal (GGA-PBE).

Cell lengths 3.6351, 3.6351, 8.9654 Å; angles 90.00, 90.00, 91.02 degrees
Sites, in units of the cell vectors:
La: 0.5000 0.5000 0.7500
La: 0.0000 0.0000 0.0535
La: 0.0000 0.0000 0.4465
Mo: 0.5000 0.5000 0.2500

Calculated values
polymorph energy (0 for the lowest one)	0.114	eV/atom
E_tot	-6.08	eV/atom
total moment	0.00	Bohr magnetons per cell
DFT formation energy	321	meV per atom

***

Entry from Alexandria: a relaxed CrReRu2 crystal (GGA-PBE).

Cell lengths 4.0814, 2.6796, 5.3152 Å; angles 72.15, 90.00, 90.00 degrees
Sites, in units of the cell vectors:
Ru: 0.0000 0.1078 0.0096
Ru: 0.0000 0.3922 0.4904
Cr: 0.5000 0.2500 0.2500
Re: 0.5000 0.7500 0.7500

Calculated values
polymorph energy (0 for the lowest one)	0.090	eV/atom
E_tot	-10.00	eV/atom
total moment	0.00	Bohr magnetons per cell
DFT formation energy	157	meV per atom

***

Entry from Alexandria: a relaxed ScRu2Br crystal (GGA-PBE).

Cell lengths 3.1464, 4.2357, 5.2034 Å; angles 90.00, 90.00, 90.00 degrees
Sites, in units of the cell vectors:
Ru: 0.0000 0.0000 0.4878
Ru: 0.0000 0.0000 0.0122
Br: 0.5000 0.5000 0.7500
Sc: 0.5000 0.5000 0.2500

Calculated values
polymorph energy (0 for the lowest one)	0.375	eV/atom
E_tot	-6.35	eV/atom
total moment	0.00	Bohr magnetons per cell